Entry 1:
## NdHoTh (GGA-PBE)

Data for NdHoTh after structural relaxation.

The structure in CIF format:
```
data_NdHoTh
_chemical_formula_sum 'Nd1 Ho1 Th1'
_cell_length_a 3.595
_cell_length_b 3.595
_cell_length_c 8.809
_cell_angle_alpha 90.00
_cell_angle_beta 90.00
_cell_angle_gamma 120.00
_symmetry_space_group_name_H-M 'P 1'
_symmetry_Int_Tables_number 1
loop_
_symmetry_equiv_pos_as_xyz
'x,y,z'
loop_
_atom_site_label
_atom_site_fract_x
_atom_site_fract_y
_atom_site_fract_z
_atom_site_occupancy
Nd1 0.000 0.000 0.994 1
Ho1 0.667 0.333 0.344 1
Th1 0.333 0.667 0.662 1
```

Output
formation enthalpy at 0 K: 31 meV/atom
energy relative to the lowest polymorph listed for this composition: 2 kJ/mol of formula units


Entry 2:
## KYBr4 (GGA-PBE)

Data for KYBr4 after structural relaxation.

The structure in CIF format:
```
data_KYBr4
_chemical_formula_sum 'K1 Y1 Br4'
_cell_length_a 6.479
_cell_length_b 6.479
_cell_length_c 6.479
_cell_angle_alpha 60.00
_cell_angle_beta 60.00
_cell_angle_gamma 60.00
_symmetry_space_group_name_H-M 'P 1'
_symmetry_Int_Tables_number 1
loop_
_symmetry_equiv_pos_as_xyz
'x,y,z'
loop_
_atom_site_label
_atom_site_fract_x
_atom_site_fract_y
_atom_site_fract_z
_atom_site_occupancy
K1 0.750 0.750 0.750 1
Y1 0.000 0.000 0.000 1
Br1 0.375 0.375 0.876 1
Br2 0.375 0.876 0.375 1
Br3 0.375 0.375 0.375 1
Br4 0.876 0.375 0.375 1
```

Output
ΔE_f (raw): -0.29 eV/atom
energy relative to the lowest polymorph listed for this composition: 887 kJ/mol of formula units


Entry 3:
## Na5As2F12 (GGA-PBE)

Data for Na5As2F12 after structural relaxation.

The structure in CIF format:
```
data_Na5As2F12
_chemical_formula_sum 'Na5 As2 F12'
_cell_length_a 6.447
_cell_length_b 7.113
_cell_length_c 7.427
_cell_angle_alpha 107.76
_cell_angle_beta 90.00
_cell_angle_gamma 116.95
_symmetry_space_group_name_H-M 'P 1'
_symmetry_Int_Tables_number 1
loop_
_symmetry_equiv_pos_as_xyz
'x,y,z'
loop_
_atom_site_label
_atom_site_fract_x
_atom_site_fract_y
_atom_site_fract_z
_atom_site_occupancy
Na1 0.279 0.558 0.597 1
As1 0.751 0.000 0.000 1
As2 0.249 0.000 0.000 1
Na2 0.000 0.000 0.500 1
F1 0.900 0.320 0.072 1
F2 0.579 0.680 0.928 1
Na3 0.721 0.442 0.403 1
F3 0.507 0.015 0.185 1
F4 0.421 0.320 0.072 1
F5 0.104 0.707 0.439 1
Na4 0.316 0.633 0.214 1
F6 0.896 0.293 0.561 1
F7 0.991 0.982 0.817 1
F8 0.009 0.018 0.183 1
F9 0.100 0.680 0.928 1
F10 0.603 0.707 0.439 1
F11 0.397 0.293 0.561 1
F12 0.493 0.985 0.815 1
Na5 0.684 0.367 0.786 1
```

Output
ΔE_f (raw): -2.25 eV/atom


Entry 4:
## Ac6Hg3PIr2 (GGA-PBE)

Data for Ac6Hg3PIr2 after structural relaxation.

The structure in CIF format:
```
data_Ac6Hg3PIr2
_chemical_formula_sum 'Ac6 Hg3 P1 Ir2'
_cell_length_a 7.622
_cell_length_b 7.622
_cell_length_c 8.479
_cell_angle_alpha 98.53
_cell_angle_beta 98.53
_cell_angle_gamma 119.96
_symmetry_space_group_name_H-M 'P 1'
_symmetry_Int_Tables_number 1
loop_
_symmetry_equiv_pos_as_xyz
'x,y,z'
loop_
_atom_site_label
_atom_site_fract_x
_atom_site_fract_y
_atom_site_fract_z
_atom_site_occupancy
Ac1 0.069 0.411 0.205 1
Ac2 0.589 0.931 0.795 1
Ac3 0.275 0.275 0.799 1
Hg1 0.500 0.500 0.500 1
Ac4 0.931 0.589 0.795 1
Ir1 0.667 0.333 0.000 1
Ac5 0.411 0.069 0.205 1
Ir2 0.333 0.667 0.000 1
P1 0.000 0.000 0.000 1
Ac6 0.725 0.725 0.201 1
Hg2 0.841 0.159 0.500 1
Hg3 0.159 0.841 0.500 1
```

Output
formation enthalpy at 0 K: -682 meV/atom


Entry 5:
## ZnNi2Pt7 (GGA-PBE)

Data for ZnNi2Pt7 after structural relaxation.

The structure in CIF format:
```
data_ZnNi2Pt7
_chemical_formula_sum 'Zn1 Ni2 Pt7'
_cell_length_a 4.222
_cell_length_b 7.061
_cell_length_c 7.061
_cell_angle_alpha 119.07
_cell_angle_beta 90.00
_cell_angle_gamma 90.00
_symmetry_space_group_name_H-M 'P 1'
_symmetry_Int_Tables_number 1
loop_
_symmetry_equiv_pos_as_xyz
'x,y,z'
loop_
_atom_site_label
_atom_site_fract_x
_atom_site_fract_y
_atom_site_fract_z
_atom_site_occupancy
Pt1 0.000 0.203 0.797 1
Pt2 0.500 0.075 0.302 1
Pt3 0.500 0.302 0.075 1
Pt4 0.000 0.797 0.203 1
Pt5 0.500 0.925 0.698 1
Pt6 0.500 0.500 0.500 1
Ni1 0.500 0.700 0.300 1
Pt7 0.500 0.698 0.925 1
Ni2 0.500 0.300 0.700 1
Zn1 0.000 0.000 0.000 1
```

Output
formation enthalpy at 0 K: 329 meV/atom


Entry 6:
## Li12Ac2Tl7 (GGA-PBE)

Data for Li12Ac2Tl7 after structural relaxation.

The structure in CIF format:
```
data_Li12Ac2Tl7
_chemical_formula_sum 'Li12 Ac2 Tl7'
_cell_length_a 4.737
_cell_length_b 10.658
_cell_length_c 10.658
_cell_angle_alpha 120.00
_cell_angle_beta 90.00
_cell_angle_gamma 90.00
_symmetry_space_group_name_H-M 'P 1'
_symmetry_Int_Tables_number 1
loop_
_symmetry_equiv_pos_as_xyz
'x,y,z'
loop_
_atom_site_label
_atom_site_fract_x
_atom_site_fract_y
_atom_site_fract_z
_atom_site_occupancy
Tl1 0.000 0.161 0.303 1
Tl2 0.500 0.686 0.598 1
Tl3 0.000 0.142 0.839 1
Li1 0.000 0.296 0.141 1
Tl4 0.500 0.402 0.089 1
Ac1 0.000 0.667 0.333 1
Li2 0.500 0.380 0.346 1
Li3 0.500 0.512 0.724 1
Ac2 0.500 0.000 0.000 1
Tl5 0.500 0.911 0.314 1
Li4 0.000 0.038 0.504 1
Li5 0.000 0.466 0.962 1
Tl6 0.000 0.697 0.858 1
Li6 0.500 0.966 0.620 1
Tl7 0.000 0.333 0.667 1
Li7 0.500 0.211 0.488 1
Li8 0.000 0.859 0.154 1
Li9 0.000 0.846 0.704 1
Li10 0.000 0.496 0.534 1
Li11 0.500 0.654 0.034 1
Li12 0.500 0.276 0.789 1
```

Output
formation enthalpy at 0 K: -230 meV/atom